(1)
VASP calculation (PBEsol) on a relaxed structure of AlRe2Hg.

Cell lengths 2.817, 4.617, 4.968 Å; angles 90.00, 92.54, 90.00 degrees
Space group P2/m (No. 10)
Inequivalent atoms, fractional coordinates:
Al 0.000 0.000 0.000 [1 per cell]
Re 0.302 0.500 0.775 [2 per cell]
Hg 0.500 0.000 0.500 [1 per cell]

Computed properties:
Formation energy from the elements   500 meV per atom
Crystal system   monoclinic
Polymorph energy (0 for the lowest one)   112 meV per atom

***

(2)
VASP calculation (PBEsol) on a relaxed structure of ZrReRu2.

Cell lengths 9.159, 2.826, 4.892 Å; angles 90.00, 101.41, 90.00 degrees
Space group C2/m (No. 12)
Inequivalent atoms, fractional coordinates:
Zr 0.000 0.000 0.000 [2 per cell]
Re 0.000 0.500 0.500 [2 per cell]
Ru 0.241 0.000 0.717 [4 per cell]

Computed properties:
Formation energy from the elements   57 meV per atom
Crystal system   monoclinic
Polymorph energy (0 for the lowest one)   75 meV per atom

***

(3)
VASP calculation (PBEsol) on a relaxed structure of AsPb2W.

Cell lengths 3.1447, 3.1447, 30.4311 Å; angles 90.00, 90.00, 120.00 degrees
Space group R-3m (No. 166, hexagonal axes)
Inequivalent atoms, fractional coordinates:
As 0.0000 0.0000 0.0000 [3 per cell]
Pb 0.0000 0.0000 0.2448 [6 per cell]
W 0.0000 0.0000 0.5000 [3 per cell]

Computed properties:
Formation energy from the elements   803 meV per atom
Crystal system   trigonal

***

(4)
VASP calculation (PBEsol) on a relaxed structure of Si2TeO.

Cell lengths 6.342, 6.342, 6.342 Å; angles 90.00, 90.00, 90.00 degrees
Space group Fm-3m (No. 225)
Inequivalent atoms, fractional coordinates:
Si 0.250 0.250 0.250 [8 per cell]
Te 0.000 0.000 0.000 [4 per cell]
O 0.000 0.000 0.500 [4 per cell]

Computed properties:
Crystal system   cubic
Uncorrected formation energy   439 meV per atom

***

(5)
VASP calculation (PBEsol) on a relaxed structure of TcHg2TeP.

Cell lengths 5.279, 5.279, 4.893 Å; angles 90.00, 90.00, 90.00 degrees
Space group P4/mmm (No. 123)
Inequivalent atoms, fractional coordinates:
Tc 0.000 0.000 0.000 [1 per cell]
Hg 0.000 0.500 0.000 [2 per cell]
Te 0.000 0.000 0.500 [1 per cell]
P 0.500 0.500 0.500 [1 per cell]

Computed properties:
Crystal system   tetragonal
Uncorrected formation energy   1004 meV per atom

***

(6)
VASP calculation (PBEsol) on a relaxed structure of CrSb2TeBr.

Cell lengths 5.439, 5.439, 5.375 Å; angles 90.00, 90.00, 90.00 degrees
Space group P4/mmm (No. 123)
Inequivalent atoms, fractional coordinates:
Cr 0.000 0.000 0.000 [1 per cell]
Sb 0.000 0.500 0.500 [2 per cell]
Te 0.500 0.500 0.000 [1 per cell]
Br 0.500 0.500 0.500 [1 per cell]

Computed properties:
Crystal system   tetragonal
Uncorrected formation energy   1250 meV per atom

***

(7)
VASP calculation (PBEsol) on a relaxed structure of BePt3.

Cell lengths 2.742, 2.742, 6.972 Å; angles 90.00, 90.00, 90.00 degrees
Space group P4/mmm (No. 123)
Inequivalent atoms, fractional coordinates:
Be 0.000 0.000 0.000 [1 per cell]
Pt 0.000 0.000 0.500 [1 per cell]
Pt 0.500 0.500 0.203 [2 per cell]

Computed properties:
Formation energy from the elements   -422 meV per atom
Crystal system   tetragonal

***

(8)
VASP calculation (PBEsol) on a relaxed structure of Nd2ZnRu.

Cell lengths 7.055, 7.055, 7.055 Å; angles 90.00, 90.00, 90.00 degrees
Space group Fm-3m (No. 225)
Inequivalent atoms, fractional coordinates:
Nd 0.250 0.250 0.250 [8 per cell]
Zn 0.000 0.000 0.000 [4 per cell]
Ru 0.000 0.000 0.500 [4 per cell]

Computed properties:
Formation energy from the elements   -171 meV per atom
Crystal system   cubic